1.
Density functional theory data (PBE) for a geometry-optimized SrMnMo2 structure.

Output
Total magnetization   3.259 μB per formula unit
Excess energy over the best structure of this formula in the dataset   111.6 meV/atom
DFT total energy   -29.80 eV/cell
Calculated formation energy   0.68 eV/atom

```
4
Lattice="-1.2271 0.3469 3.9419 -1.3569 -2.6156 -0.1923 5.1150 -4.3804 1.9777" Properties=species:S:1:pos:R:3 pbc="T T T"
Mo -0.0544 -0.1149 -0.0068
Mo -0.0855 -1.2054 2.2567
Mn 2.6453 -5.3914 3.4751
Sr 1.9045 -3.4353 0.8952
```

2.
Density functional theory data (PBE) for a geometry-optimized SrMnMo2 structure.

Output
Total magnetization   2.472 μB per formula unit
Excess energy over the best structure of this formula in the dataset   759.7 meV/atom
DFT total energy   -27.21 eV/cell
Calculated formation energy   1.33 eV/atom

```
4
Lattice="-0.8427 -1.0904 4.9634 -2.2909 -4.4095 -1.3577 2.4771 -1.3267 0.1291" Properties=species:S:1:pos:R:3 pbc="T T T"
Mo 0.0000 0.0000 0.0000
Mo -1.5668 -2.7499 1.8029
Mn 0.0931 -2.8681 -0.6143
Sr 0.8172 -1.2085 2.5463
```

3.
Density functional theory data (PBE) for a geometry-optimized SrMnMo2 structure.

Output
Total magnetization   2.908 μB per formula unit
Excess energy over the best structure of this formula in the dataset   465.3 meV/atom
DFT total energy   -28.39 eV/cell
Calculated formation energy   1.03 eV/atom

```
4
Lattice="5.5021 0.0222 0.0832 -2.4479 5.2382 -0.0601 0.6062 0.6914 2.5855" Properties=species:S:1:pos:R:3 pbc="T T T"
Sr -0.9208 2.9648 1.2627
Mn 1.5271 2.6302 0.0115
Mo 0.0000 0.0000 0.0000
Mo 3.0542 0.3568 1.3343
```

4.
Density functional theory data (PBE) for a geometry-optimized SrMnMo3 structure.

Output
Total magnetization   1.110 μB per formula unit
Excess energy over the best structure of this formula in the dataset   0.0 meV/atom
DFT total energy   -37.95 eV/cell
Calculated formation energy   1.08 eV/atom

```
5
Lattice="4.6581 0.0000 0.0000 0.0000 4.6581 0.0000 0.0000 0.0000 4.6581" Properties=species:S:1:pos:R:3 pbc="T T T"
Mo 0.0000 2.3290 0.0000
Mo 0.0000 0.0000 2.3290
Mo 2.3290 0.0000 0.0000
Mn 0.0000 0.0000 0.0000
Sr 2.3290 2.3290 2.3290
```

5.
Density functional theory data (PBE) for a geometry-optimized SrMn3Mo structure.

Output
Total magnetization   7.693 μB per formula unit
Excess energy over the best structure of this formula in the dataset   1570.4 meV/atom
DFT total energy   -28.00 eV/cell
Calculated formation energy   2.40 eV/atom

```
5
Lattice="4.8487 0.0000 0.0000 0.0000 4.8487 0.0000 0.0000 0.0000 4.8487" Properties=species:S:1:pos:R:3 pbc="T T T"
Sr 0.0000 0.0000 0.0000
Mn 0.0000 0.0000 2.4243
Mn 2.4243 0.0000 0.0000
Mn 0.0000 2.4243 0.0000
Mo 2.4243 2.4243 2.4243
```

6.
Density functional theory data (PBE) for a geometry-optimized SrMnMo2 structure.

Output
Total magnetization   2.800 μB per formula unit
Excess energy over the best structure of this formula in the dataset   186.2 meV/atom
DFT total energy   -29.50 eV/cell
Calculated formation energy   0.75 eV/atom

```
4
Lattice="-1.2171 -2.5852 -0.5878 1.5013 -0.1987 2.4933 -7.7618 2.5455 4.8766" Properties=species:S:1:pos:R:3 pbc="T T T"
Mn -6.0236 0.6301 4.8265
Mo -7.7436 2.5395 4.8651
Mo -1.4619 -0.8659 1.9605
Sr -3.8913 1.2761 2.4448
```

7.
Density functional theory data (PBE) for a geometry-optimized SrMnMo2 structure.

Output
Total magnetization   3.515 μB per formula unit
Excess energy over the best structure of this formula in the dataset   315.2 meV/atom
DFT total energy   -28.99 eV/cell
Calculated formation energy   0.88 eV/atom

```
4
Lattice="-4.7579 -3.2064 0.5515 0.3895 -5.3071 -2.2149 2.0258 3.7407 3.8893" Properties=species:S:1:pos:R:3 pbc="T T T"
Mn 0.2126 -2.7223 0.4583
Sr -2.2356 -4.3571 -0.8513
Mo -4.2358 -8.2552 -1.6129
Mo -2.6363 -2.2085 1.7367
```

8.
Density functional theory data (PBE) for a geometry-optimized SrMn4Mo structure.

Output
Total magnetization   5.537 μB per formula unit
DFT total energy   -45.22 eV/cell
Calculated formation energy   0.66 eV/atom

```
6
Lattice="0.0000 3.5674 3.5674 3.5674 0.0000 3.5674 3.5674 3.5674 0.0000" Properties=species:S:1:pos:R:3 pbc="T T T"
Mn 2.6770 4.4578 4.4578
Mn 2.6770 2.6770 2.6770
Mn 4.4578 4.4578 2.6770
Mn 4.4578 2.6770 4.4578
Mo 5.3511 5.3511 5.3511
Sr 0.0000 0.0000 0.0000
```

9.
Density functional theory data (PBE) for a geometry-optimized SrMnMo2 structure.

Output
Total magnetization   0.005 μB per formula unit
Excess energy over the best structure of this formula in the dataset   141.4 meV/atom
DFT total energy   -29.68 eV/cell
Calculated formation energy   0.71 eV/atom

```
4
Lattice="-4.4320 0.3619 0.0275 -3.0351 -2.4128 -2.1774 -2.1924 -4.2899 4.0095" Properties=species:S:1:pos:R:3 pbc="T T T"
Sr -2.4149 -1.5852 0.4649
Mo -4.7281 -3.7155 1.6801
Mo -2.2940 -3.7448 3.2592
Mn -7.2446 -4.7556 1.3947
```

10.
Density functional theory data (PBE) for a geometry-optimized SrMn2TlMo structure.

Output
Total magnetization   5.967 μB per formula unit
DFT total energy   -28.21 eV/cell
Calculated formation energy   1.00 eV/atom

```
5
Lattice="4.8024 0.0000 0.0000 0.0000 4.8024 0.0000 0.0000 0.0000 5.8718" Properties=species:S:1:pos:R:3 pbc="T T T"
Tl 2.4012 2.4012 2.9359
Mn 0.0000 2.4012 0.0000
Mn 2.4012 0.0000 0.0000
Mo 0.0000 0.0000 0.0000
Sr 0.0000 0.0000 2.9359
```

11.
Density functional theory data (PBE) for a geometry-optimized Sr2MnZnMo structure.

Output
Total magnetization   4.208 μB per formula unit
DFT total energy   -17.80 eV/cell
Calculated formation energy   1.37 eV/atom

```
5
Lattice="-4.2947 0.1982 3.7234 -2.9854 -1.2444 -3.3773 0.8477 -5.4788 1.2694" Properties=species:S:1:pos:R:3 pbc="T T T"
Zn -1.4927 -0.6222 -1.6886
Mn 0.0000 0.0000 0.0000
Sr 0.4238 -2.7394 0.6347
Sr -2.1474 0.0991 1.8617
Mo -3.2162 -3.2625 0.8078
```

12.
Density functional theory data (PBE) for a geometry-optimized Ta3MnMo structure.

Output
Total magnetization   0.000 μB per formula unit
Excess energy over the best structure of this formula in the dataset   0.0 meV/atom
DFT total energy   -50.66 eV/cell
Calculated formation energy   0.98 eV/atom

```
5
Lattice="-3.8180 1.9921 -1.4480 -2.4284 -2.6000 2.8258 0.4104 3.1486 3.2497" Properties=species:S:1:pos:R:3 pbc="T T T"
Ta -1.2142 -1.3000 1.4129
Ta 0.2052 1.5743 1.6248
Ta -1.9090 0.9961 -0.7240
Mo -2.9180 1.2703 2.3137
Mn 0.0000 0.0000 0.0000
```

13.
Density functional theory data (PBE) for a geometry-optimized Ta4MnMo structure.

Output
Total magnetization   0.000 μB per formula unit
Excess energy over the best structure of this formula in the dataset   0.0 meV/atom
DFT total energy   -68.28 eV/cell
Calculated formation energy   -0.15 eV/atom

```
6
Lattice="-1.4014 -1.4576 2.4547 -0.7265 -2.4624 -1.8770 8.5193 -4.2825 2.3206" Properties=species:S:1:pos:R:3 pbc="T T T"
Ta 0.2339 -2.6126 0.6425
Ta 6.1575 -5.5899 2.2559
Ta 3.5236 -6.7607 2.1171
Ta 2.8679 -1.4418 0.7812
Mo 3.1957 -4.1013 1.4492
Mn 0.0000 0.0000 0.0000
```

14.
Density functional theory data (PBE) for a geometry-optimized Ta4MnMo3 structure.

Output
Total magnetization   0.001 μB per formula unit
DFT total energy   -90.56 eV/cell
Calculated formation energy   -0.19 eV/atom

```
8
Lattice="3.1925 0.0000 0.0000 0.0000 3.1925 0.0000 0.0000 0.0000 12.7942" Properties=species:S:1:pos:R:3 pbc="T T T"
Ta 0.0000 0.0000 1.5105
Ta 0.0000 0.0000 11.2837
Ta 0.0000 0.0000 8.0362
Ta 0.0000 0.0000 4.7580
Mo 1.5963 1.5963 9.6622
Mo 1.5963 1.5963 6.3971
Mo 1.5963 1.5963 3.1320
Mn 1.5963 1.5963 0.0000
```